Below is a relaxed structure of K5Fe3, with properties calculated at the PBE level.

Calculated values
Space-group type   Cmmm
Formation energy from the elements   5.80 eV/f.u.
E above lowest polymorph   0 meV per atom
Spin magnetization   8.374 μB per formula unit
Theoretical density   1.56 g/cm3

Cell and atoms, written as extended XYZ:
```
8
Lattice="6.5819 -7.1414 0.0000 6.5819 7.1414 0.0000 0.0000 0.0000 4.1110" Properties=species:S:1:pos:R:3 pbc="T T T"
K 0.0000 0.0000 0.0000
K 3.2910 3.5707 0.0000
K 3.5875 0.0000 2.0555
K 3.2910 -3.5707 0.0000
K 9.5763 0.0000 2.0555
Fe 6.5819 1.1832 2.0555
Fe 6.5819 0.0000 0.0000
Fe 6.5819 -1.1832 2.0555
```

---

Below is a relaxed structure of K2Fe, with properties calculated at the PBE level.

Calculated values
Space-group type   I4/mcm
Formation energy from the elements   2.32 eV/f.u.
E above lowest polymorph   113 meV per atom
Spin magnetization   2.665 μB per formula unit
Theoretical density   1.95 g/cm3

Cell and atoms, written as extended XYZ:
```
6
Lattice="-4.8900 4.8900 2.3922 4.8900 -4.8900 2.3922 4.8900 4.8900 -2.3922" Properties=species:S:1:pos:R:3 pbc="T T T"
K 6.4683 1.5783 0.0000
K 1.5783 3.3117 0.0000
K 3.3117 1.5783 2.3922
K -1.5783 3.3117 2.3922
Fe 0.0000 0.0000 1.1961
Fe 0.0000 0.0000 3.5883
```

---

What did the first record say?
Below is a relaxed structure of K5Fe3, with properties calculated at the PBE level.

Calculated values
Space-group type   Cmmm
Formation energy from the elements   5.80 eV/f.u.
E above lowest polymorph   0 meV per atom
Spin magnetization   8.374 μB per formula unit
Theoretical density   1.56 g/cm3

Cell and atoms, written as extended XYZ:
```
8
Lattice="6.5819 -7.1414 0.0000 6.5819 7.1414 0.0000 0.0000 0.0000 4.1110" Properties=species:S:1:pos:R:3 pbc="T T T"
K 0.0000 0.0000 0.0000
K 3.2910 3.5707 0.0000
K 3.5875 0.0000 2.0555
K 3.2910 -3.5707 0.0000
K 9.5763 0.0000 2.0555
Fe 6.5819 1.1832 2.0555
Fe 6.5819 0.0000 0.0000
Fe 6.5819 -1.1832 2.0555
```

---

- Which of these has the lowest formation energy from the elements?
  K2Fe

---

- The lowest E above lowest polymorph belongs to which entry?
  K5Fe3

---

- Among the records above, which one has the highest E above lowest polymorph?
  K2Fe